Computed, not measured: an optimized crystal structure of Ho3Ti at the PBE level of DFT.

```
Ho3Ti
1.0
-0.8108 0.6638 3.2845
5.3613 -1.8473 1.6968
-0.3782 5.5982 -3.0342
Ho Ti
3 1
Direct
0.5000 0.4763 0.0000
0.2679 0.6106 0.5358
0.7321 0.0749 0.4642
0.0000 0.0048 0.0000
```

Calculated values
DFT formation energy ... 0.18 eV/atom
Total DFT energy (no corrections) ... -5.231 eV/atom
Density ... 8.21 g/cm³
Symmetry ... Imm2, No. 44